P) MnIrPdO GGA+U relaxed; density = 11.05 Mg/m³; crystal system = orthorhombic
1.0
-0.088 2.630 -1.216
-1.171 -1.122 -2.343
-12.246 1.981 5.173
Mn Ir Pd O
2 2 2 2
Cartesian
-1.196 -0.462 -0.914
-6.777 2.405 2.236
-5.608 0.251 0.950
-11.189 3.119 4.100
-10.055 0.971 2.829
-3.391 1.857 0.806
-1.880 0.304 0.794
-8.633 2.049 1.601


Q) MnIrPdO GGA+U relaxed; density = 11.30 Mg/m³; crystal system = trigonal
1.0
-0.028 0.640 2.816
-2.465 -0.644 -1.358
0.981 -7.267 1.662
Mn Ir Pd O
1 1 1 1
Cartesian
-0.790 -6.603 1.494
-0.682 -0.958 1.692
0.444 -3.293 0.753
0.719 -5.328 1.219


R) MnIrPdO GGA+U relaxed; density = 11.23 Mg/m³; crystal system = trigonal
1.0
7.775 0.000 -0.113
0.000 2.884 0.000
-0.997 0.000 4.887
Mn Ir Pd O
2 2 2 2
Cartesian
0.916 0.000 0.185
0.418 1.442 2.629
6.196 0.000 1.256
5.698 1.442 3.700
3.722 0.000 2.449
4.220 1.442 0.005
1.704 0.000 2.042
1.205 1.442 4.486


S) MnIrPdO GGA+U relaxed; density = 10.92 Mg/m³; crystal system = orthorhombic
1.0
2.887 0.000 -0.113
0.000 2.894 0.000
-2.360 0.000 13.543
Mn Ir Pd O
2 2 2 2
Cartesian
2.393 0.000 1.869
1.213 1.447 8.641
-0.347 0.000 5.732
-1.527 1.447 12.504
-0.159 0.000 10.533
1.021 1.447 3.761
0.890 0.000 0.411
-0.290 1.447 7.183


Which is the most stable structure? Q) is the most stable.


P) MnIrPdO GGA+U relaxed; density = 10.95 Mg/m³; crystal system = monoclinic
1.0
-1.303 -0.353 -4.069
2.322 -1.522 -0.611
-3.214 -7.380 6.174
Mn Ir Pd O
2 2 2 2
Cartesian
-1.973 -4.397 3.458
0.795 -1.468 0.065
-2.035 -2.429 -1.681
-2.481 -6.880 1.101
-3.526 -6.868 3.713
-0.758 -3.939 0.320
-0.898 -0.989 -0.946
-1.344 -5.441 1.835


Q) MnIrPdO GGA+U relaxed; density = 11.18 Mg/m³; crystal system = tetragonal
1.0
-0.671 1.458 2.285
-2.614 -0.970 -0.148
3.613 -10.965 8.057
Mn Ir Pd O
2 2 2 2
Cartesian
2.046 -6.208 4.561
-1.403 -0.481 1.601
3.302 -10.021 7.363
-0.147 -4.295 4.403
1.007 -3.057 2.246
1.171 -8.295 7.343
0.462 -1.403 1.031
0.627 -6.642 6.128


R) MnIrPdO GGA+U relaxed; density = 11.30 Mg/m³; crystal system = trigonal
1.0
2.893 0.000 0.000
-1.447 2.506 0.000
0.000 0.000 22.478
Mn Ir Pd O
3 3 3 3
Cartesian
0.000 0.000 0.906
0.000 1.671 15.891
1.447 0.835 8.398
0.000 0.000 6.279
0.000 1.671 21.264
1.447 0.835 13.771
0.000 0.000 19.085
0.000 1.671 11.592
1.447 0.835 4.099
0.000 0.000 16.990
0.000 1.671 9.497
1.447 0.835 2.005


Which is the most stable structure? R) is the most stable.